Compound: BaY2CuTe4
Source: Alexandria via LeMat-Bulk
Functional: PBE-GGA
Structure: relaxed

As for the space group: Cmcm (63). The calculation puts the energy relative to the elements, uncorrected at -9.88 eV/f.u.

Cell and atoms, written as POSCAR:
```
BaY2CuTe4
1.0
2.2242 -7.4240 0.0000
2.2242 7.4240 0.0000
0.0000 0.0000 15.3556
Ba Y Cu Te
2 4 2 8
Cartesian
2.2242 5.6463 11.5167
2.2242 -5.6463 3.8389
2.2242 1.9024 8.6061
2.2242 1.9024 14.4273
2.2242 -1.9024 0.9283
2.2242 -1.9024 6.7495
2.2242 5.1422 3.8389
2.2242 -5.1422 11.5167
0.0000 0.0000 0.0000
0.0000 0.0000 7.6778
2.2242 3.4519 1.7664
2.2242 3.4519 5.9114
2.2242 0.8877 11.5167
2.2242 -0.8877 3.8389
2.2242 -3.4519 9.4442
2.2242 -3.4519 13.5892
```



Compound: YPd3N
Source: Alexandria via LeMat-Bulk
Functional: PBE-GGA
Structure: relaxed

As for the space group: Pm-3m (221). The calculation puts the energy relative to the elements, uncorrected at 8.33 eV/f.u.

Cell and atoms, written as POSCAR:
```
YPd3N
1.0
5.1476 0.0000 0.0000
0.0000 5.1476 0.0000
0.0000 0.0000 5.1476
Y Pd N
1 3 1
Cartesian
0.0000 0.0000 0.0000
0.0000 0.0000 2.5738
0.0000 2.5738 0.0000
2.5738 0.0000 0.0000
2.5738 2.5738 2.5738
```